# PBE Ta2SbP, optimized geometry
data_Ta2SbP
_cell_length_a 5.0900
_cell_length_b 5.0900
_cell_length_c 14.9931
_cell_angle_alpha 90.00
_cell_angle_beta 90.00
_cell_angle_gamma 90.00
_symmetry_space_group_name_H-M 'I -4 2 d'
_symmetry_Int_Tables_number 122
_symmetry_space_group_name_Hall 'I -4 2bw'
loop_
_atom_site_label
_atom_site_type_symbol
_atom_site_fract_x
_atom_site_fract_y
_atom_site_fract_z
Ta1 Ta 0.1601 0.2500 0.1250
Sb1 Sb 0.0000 0.0000 0.5000
P1 P 0.0000 0.0000 0.0000
# Calculated density   8.8 g/cm³
# Energy relative to the elements, uncorrected   0.51 eV per atom
# Uncorrected energy   -7.804 eV/atom